[1]
DFT (PBE) results for ThCu4Sb after structural relaxation.

Cell: 5.293 5.293 5.293 Å, 60.00 60.00 60.00°
Fractional positions:
Cu  0.625  0.625  0.126
Cu  0.126  0.625  0.625
Cu  0.625  0.126  0.625
Cu  0.625  0.625  0.625
Th  0.250  0.250  0.250
Sb  0.000  0.000  0.000

## Properties
- D(E_F): 0.70 states/eV per atom
- Uncorrected formation energy: -91 meV/atom
- Calculated density: 9.63 g/cm³
- Symmetry: F-43m, No. 216
- VASP energy: -4.745 eV per atom
- Crystal system: cubic

[2]
DFT (PBE) results for GaGeAu6 after structural relaxation.

Cell: 5.055 5.153 6.744 Å, 112.88 112.45 91.20°
Fractional positions:
Au  0.771  0.811  0.507
Au  0.396  0.836  0.752
Au  0.229  0.189  0.493
Au  0.604  0.164  0.248
Au  0.132  0.568  0.246
Au  0.868  0.432  0.754
Ga  0.000  0.000  0.000
Ge  0.500  0.500  0.000

## Properties
- D(E_F): 0.23 states/eV per atom
- Calculated density: 15.00 g/cm³
- DFT formation energy: -32 meV/atom
- Relative energy among the computed polymorphs: 0.0 meV/atom
- Symmetry: P-1, No. 2
- VASP energy: -3.445 eV per atom
- Crystal system: triclinic

[3]
DFT (PBE) results for CaTa3F after structural relaxation.

Cell: 4.506 4.506 4.506 Å, 90.00 90.00 90.00°
Fractional positions:
F  0.000  0.000  0.000
Ta  0.500  0.000  0.000
Ta  0.000  0.000  0.500
Ta  0.000  0.500  0.000
Ca  0.500  0.500  0.500

## Properties
- D(E_F): 1.02 states/eV per atom
- Uncorrected formation energy: 428 meV/atom
- Calculated density: 10.93 g/cm³
- Relative energy among the computed polymorphs: 0.0 meV/atom
- Symmetry: Pm-3m, No. 221
- VASP energy: -7.458 eV per atom
- Crystal system: cubic

[4]
DFT (PBE) results for Na3Hg8Pb3 after structural relaxation.

Cell: 4.675 9.874 9.874 Å, 68.53 76.31 76.31°
Fractional positions:
Hg  0.160  0.212  0.469
Hg  0.160  0.469  0.212
Hg  0.347  0.955  0.351
Hg  0.347  0.351  0.955
Hg  0.653  0.649  0.045
Hg  0.840  0.531  0.788
Hg  0.840  0.788  0.531
Hg  0.653  0.045  0.649
Na  0.500  0.500  0.500
Na  0.208  0.792  0.792
Na  0.792  0.208  0.208
Pb  0.000  0.208  0.792
Pb  0.000  0.792  0.208
Pb  0.500  0.000  0.000

## Properties
- D(E_F): 0.35 states/eV per atom
- Calculated density: 9.38 g/cm³
- DFT formation energy: -92 meV/atom
- Symmetry: Immm, No. 71
- VASP energy: -1.342 eV per atom
- Crystal system: orthorhombic

[5]
DFT (PBE) results for HfReF3 after structural relaxation.

Cell: 4.239 4.239 4.239 Å, 90.00 90.00 90.00°
Site moments in Bohr magnetons follow the coordinates.
Fractional positions:
F  0.500  0.000  0.000  -0.01
F  0.000  0.500  0.000  0.02
F  0.000  0.000  0.500  0.02
Re  0.000  0.000  0.000  -0.68
Hf  0.500  0.500  0.500  1.19

## Properties
- D(E_F): 0.93 states/eV per atom
- Uncorrected formation energy: -110 meV/atom
- Calculated density: 9.19 g/cm³
- Relative energy among the computed polymorphs: 878.0 meV/atom
- Symmetry: Pm-3m, No. 221
- VASP energy: -5.713 eV per atom
- Crystal system: cubic

[6]
DFT (PBE) results for PrY4Tm3 after structural relaxation.

Cell: 6.282 7.281 11.285 Å, 90.00 90.00 90.00°
Fractional positions:
Y  0.483  0.874  0.248
Y  0.983  0.126  0.748
Y  0.483  0.874  0.752
Y  0.145  0.873  0.000
Y  0.647  0.126  0.000
Y  0.147  0.874  0.500
Y  0.983  0.126  0.252
Y  0.645  0.127  0.500
Tm  0.980  0.624  0.750
Tm  0.480  0.376  0.250
Tm  0.149  0.376  0.500
Tm  0.480  0.376  0.750
Tm  0.980  0.624  0.250
Tm  0.649  0.624  0.000
Pr  0.149  0.376  0.000
Pr  0.649  0.624  0.500

## Properties
- D(E_F): 1.67 states/eV per atom
- Calculated density: 6.46 g/cm³
- DFT formation energy: 5 meV/atom
- Relative energy among the computed polymorphs: 0.0 meV/atom
- Symmetry: Pmn2_1, No. 31
- VASP energy: -5.501 eV per atom
- Crystal system: orthorhombic